Entry 1:
LiMoPb2 | Alexandria via LeMat-Bulk | PBE | optimized geometry; E = -0.317 Ry per atom; excess energy over the best structure of this formula in the dataset = 449 meV per atom; E_form = 0.73 eV/atom
1.0
4.625 0.000 0.000
0.000 4.625 0.000
2.312 2.312 9.578
Li Pb Mo
2 4 2
Cartesian
2.312 2.312 0.000 Li
2.312 4.625 4.789 Li
1.148 3.469 2.395 Pb
5.781 5.789 7.184 Pb
3.469 3.460 7.184 Pb
3.477 1.156 2.395 Pb
4.625 2.312 4.789 Mo
0.000 0.000 0.000 Mo

=====

Entry 2:
Li2MoPb | Alexandria via LeMat-Bulk | PBE | optimized geometry; E = -0.308 Ry per atom; E_form = 0.41 eV/atom
1.0
-1.591 -1.542 1.824
1.151 -2.415 -1.038
6.641 0.495 6.211
Li Mo Pb
2 1 1
Cartesian
3.230 0.241 3.020 Li
0.091 0.007 0.085 Li
1.440 -1.855 1.945 Mo
4.761 -1.607 5.051 Pb

=====

Entry 3:
Li2MoPb | Alexandria via LeMat-Bulk | PBE | optimized geometry; E = -0.310 Ry per atom; E_form = 0.38 eV/atom
1.0
-4.705 -2.404 1.467
-3.361 -4.325 -0.252
0.444 -3.345 4.085
Pb Mo Li
1 1 2
Cartesian
-1.864 -2.841 1.718 Pb
-3.858 -4.723 2.262 Mo
-7.643 -9.751 4.923 Li
-5.690 -7.869 4.346 Li

=====

Entry 4:
Li2MoPb | Alexandria via LeMat-Bulk | PBE | optimized geometry; E = -0.306 Ry per atom; E_form = 0.42 eV/atom
1.0
-0.981 1.102 5.181
-2.469 -3.809 2.901
4.219 0.272 -3.339
Li Pb Mo
2 1 1
Cartesian
0.000 0.000 0.000 Li
-1.725 -1.354 4.041 Li
0.757 0.010 2.942 Pb
0.013 -2.445 1.802 Mo

=====

Entry 5:
LiMoPb | Alexandria via LeMat-Bulk | PBE | optimized geometry; E = -0.361 Ry per atom; excess energy over the best structure of this formula in the dataset = 52 meV per atom; E_form = 0.57 eV/atom
1.0
-6.818 -1.753 1.893
-4.725 -5.323 1.576
6.294 3.667 0.270
Mo Pb Li
1 1 1
Cartesian
-3.902 -2.392 1.172 Mo
-7.779 -4.769 2.338 Pb
-11.404 -6.991 3.427 Li

=====

Entry 6:
LiMoPb2 | Alexandria via LeMat-Bulk | PBE | optimized geometry; E = -0.341 Ry per atom; excess energy over the best structure of this formula in the dataset = 125 meV per atom; E_form = 0.41 eV/atom
1.0
-2.440 -1.579 -3.899
1.404 -4.554 0.968
-2.844 -0.459 1.966
Pb Mo Li
2 1 1
Cartesian
-0.518 -3.067 -1.465 Pb
0.000 0.000 0.000 Pb
-0.720 -2.507 1.467 Mo
-2.642 -1.019 -0.967 Li

=====

Entry 7:
Li2Mo2Pb | Alexandria via LeMat-Bulk | PBE | optimized geometry; E = -0.390 Ry per atom; excess energy over the best structure of this formula in the dataset = 0 meV per atom; E_form = 0.53 eV/atom
1.0
-2.595 6.677 -1.698
-6.650 -2.901 -1.247
-0.799 0.486 3.130
Mo Li Pb
4 4 2
Cartesian
-6.969 0.037 -1.784 Mo
-2.276 3.738 -1.161 Mo
-6.349 4.212 -2.274 Mo
-2.896 -0.436 -0.671 Mo
-5.456 -0.501 0.390 Li
-2.456 1.788 0.801 Li
-4.588 4.762 -0.205 Li
-7.588 2.474 -0.615 Li
-4.623 1.888 -1.472 Pb
0.000 0.000 0.000 Pb

=====

Entry 8:
LiMoPb3 | Alexandria via LeMat-Bulk | PBE | optimized geometry; E = -0.321 Ry per atom; excess energy over the best structure of this formula in the dataset = 0 meV per atom; E_form = 0.41 eV/atom
1.0
5.436 0.000 0.000
0.000 5.436 0.000
0.000 0.000 5.436
Mo Pb Li
1 3 1
Cartesian
0.000 0.000 0.000 Mo
2.718 0.000 0.000 Pb
0.000 0.000 2.718 Pb
0.000 2.718 0.000 Pb
2.718 2.718 2.718 Li